# 1
# Li2Tb3Pb6, relaxed, DFT PBE
# D(E_F), states/eV/cell: 12.46
# Crystal system: tetragonal
# Total magnetic moment, μB per cell: 0.00
# Total DFT energy (no corrections), eV/atom: -3.85
# Formation enthalpy at 0 K, eV/f.u.: -2.4
data_Li2Tb3Pb6
_chemical_formula_sum 'Li4 Tb6 Pb12'
_space_group_name_H-M_alt 'I 4/m m m'
_space_group_IT_number 139
_space_group_name_Hall '-I 4 2'
_cell_length_a 4.936
_cell_length_b 4.936
_cell_length_c 24.755
_cell_angle_alpha 90.00
_cell_angle_beta 90.00
_cell_angle_gamma 90.00
loop_
_atom_site_label
_atom_site_type_symbol
_atom_site_fract_x
_atom_site_fract_y
_atom_site_fract_z
_atom_site_occupancy
Li1 Li 0.000 0.000 0.047 1
Tb1 Tb 0.000 0.000 0.316 1
Tb2 Tb 0.000 0.000 0.500 1
Pb1 Pb 0.000 0.000 0.191 1
Pb2 Pb 0.000 0.500 0.095 1

---

# 2
# LaNb3As, relaxed, DFT PBE
# D(E_F), states/eV/cell: 5.01
# Distance to the lowest polymorph of the same formula, meV per atom: 1429
# Crystal system: cubic
# Total magnetic moment, μB per cell: 0.00
# Total DFT energy (no corrections), eV/atom: -6.14
# Formation enthalpy at 0 K, eV/f.u.: 9.1
data_LaNb3As
_chemical_formula_sum 'La1 Nb3 As1'
_space_group_name_H-M_alt 'P m -3 m'
_space_group_IT_number 221
_space_group_name_Hall '-P 4 2 3'
_cell_length_a 4.916
_cell_length_b 4.916
_cell_length_c 4.916
_cell_angle_alpha 90.00
_cell_angle_beta 90.00
_cell_angle_gamma 90.00
loop_
_atom_site_label
_atom_site_type_symbol
_atom_site_fract_x
_atom_site_fract_y
_atom_site_fract_z
_atom_site_occupancy
La1 La 0.000 0.000 0.000 1
Nb1 Nb 0.000 0.000 0.500 1
As1 As 0.500 0.500 0.500 1

---

# 3
# Na3Sm2UTe6, relaxed, DFT PBE
# ΔE_f (raw), eV per formula unit: -13.55
# D(E_F), states/eV/cell: 12.51
# Crystal system: monoclinic
# Total magnetic moment, μB per cell: 6.02
# Total DFT energy (no corrections), eV/atom: -4.76
data_Na3Sm2UTe6
_chemical_formula_sum 'Na6 Sm4 U2 Te12'
_space_group_name_H-M_alt 'C 1 2/m 1'
_space_group_IT_number 12
_cell_length_a 7.784
_cell_length_b 13.482
_cell_length_c 7.995
_cell_angle_alpha 90.00
_cell_angle_beta 108.92
_cell_angle_gamma 90.00
loop_
_space_group_symop_operation_xyz
'x,y,z'
'-x,-y,-z'
'-x,y,-z'
'x,-y,z'
'x+1/2,y+1/2,z'
'-x+1/2,-y+1/2,-z'
'-x+1/2,y+1/2,-z'
'x+1/2,-y+1/2,z'
loop_
_atom_site_label
_atom_site_type_symbol
_atom_site_fract_x
_atom_site_fract_y
_atom_site_fract_z
_atom_site_occupancy
Na1 Na 0.000 0.000 0.000 1
Na2 Na 0.000 0.333 0.000 1
Sm1 Sm 0.000 0.167 0.500 1
U1 U 0.000 0.500 0.500 1
Te1 Te 0.245 0.334 0.737 1
Te2 Te 0.247 0.000 0.737 1